PBE LiPSe2, relaxed; total moment = 0.000 Bohr magnetons per cell; ΔE_f (raw) = -0.45 eV/atom
1.0
3.729 0.000 0.000
0.000 3.729 0.000
0.000 0.000 5.775
Se P Li
2 1 1
Direct
0.000 0.000 0.894 Se
0.500 0.500 0.426 Se
0.500 0.500 0.811 P
0.000 0.000 0.369 Li

PBE KBa, relaxed; total moment = 0.000 Bohr magnetons per cell; E_form = 0.77 eV per atom
1.0
-5.356 1.107 11.249
-2.753 -12.201 -0.110
10.963 -2.523 5.468
Ba K
6 6
Direct
0.750 0.000 0.500 Ba
0.500 0.750 0.000 Ba
0.500 0.250 0.000 Ba
0.000 0.500 0.750 Ba
0.250 0.000 0.500 Ba
0.000 0.500 0.250 Ba
0.500 0.000 0.250 K
0.500 0.000 0.750 K
0.000 0.250 0.500 K
0.000 0.750 0.500 K
0.250 0.500 0.000 K
0.750 0.500 0.000 K

PBE PuZr2P3, relaxed; total moment = 5.228 Bohr magnetons per cell; E_form = -1.33 eV per atom
1.0
-3.277 -0.147 -1.935
2.406 2.297 -4.248
1.849 -6.251 1.093
Pu P Zr
1 3 2
Direct
0.500 0.500 0.500 Pu
0.171 0.671 0.842 P
0.500 0.000 0.500 P
0.829 0.329 0.158 P
0.166 0.166 0.832 Zr
0.834 0.834 0.168 Zr

PBE B5HRh12, relaxed; total moment = 0.000 Bohr magnetons per cell; E = -7.087 eV per atom
1.0
-2.371 -3.394 -3.141
1.895 -4.522 -0.844
-4.785 -3.211 7.805
Rh B H
12 5 1
Direct
0.348 0.665 0.870 Rh
0.130 0.333 0.368 Rh
0.463 0.667 0.368 Rh
0.652 0.335 0.130 Rh
0.537 0.333 0.632 Rh
0.297 0.000 0.126 Rh
0.703 0.000 0.874 Rh
0.987 0.665 0.130 Rh
0.202 0.000 0.631 Rh
0.870 0.667 0.632 Rh
0.798 0.000 0.369 Rh
0.013 0.335 0.870 Rh
0.833 0.334 0.500 B
0.341 0.318 0.000 B
0.500 0.000 0.500 B
0.167 0.666 0.500 B
0.659 0.682 0.000 B
0.000 0.000 0.000 H

PBE Be3TlI, relaxed; total moment = 0.000 Bohr magnetons per cell; ΔE to the lowest computed polymorph = 0.5715 eV per atom; ΔE_f (raw) = 1.53 eV/atom
1.0
4.885 0.000 0.000
0.000 4.885 0.000
0.000 0.000 4.885
Be Tl I
3 1 1
Direct
0.500 0.000 0.000 Be
0.000 0.500 0.000 Be
0.000 0.000 0.500 Be
0.500 0.500 0.500 Tl
0.000 0.000 0.000 I

PBE Nd2TePd, relaxed; total moment = 0.000 Bohr magnetons per cell; ΔE to the lowest computed polymorph = 0.0211 eV per atom; ΔE_f (raw) = -1.04 eV/atom
1.0
4.262 0.010 0.018
2.117 3.699 0.018
2.107 1.225 7.611
Te Nd Pd
1 2 1
Direct
0.500 0.500 0.500 Te
0.261 0.261 0.218 Nd
0.739 0.739 0.782 Nd
0.000 0.000 0.000 Pd

PBE CsAcF5, relaxed; total moment = 1.005 Bohr magnetons per cell; ΔE_f (raw) = -3.12 eV/atom
1.0
-1.208 4.014 0.484
-1.132 -0.820 3.981
6.729 1.751 2.274
F Ac Cs
5 1 1
Direct
0.500 0.000 0.293 F
0.000 0.500 0.707 F
0.000 0.000 0.500 F
0.500 0.000 0.707 F
0.000 0.500 0.293 F
0.500 0.500 0.500 Ac
0.000 0.000 0.000 Cs

PBE Sb12Pd4Pb, relaxed; total moment = 0.000 Bohr magnetons per cell; ΔE_f (raw) = -0.22 eV/atom
1.0
-2.249 1.687 7.833
-6.804 -1.100 -4.664
4.604 -6.931 -0.132
Sb Pd Pb
12 4 1
Direct
0.154 0.658 0.812 Sb
0.846 0.342 0.188 Sb
0.342 0.188 0.846 Sb
0.342 0.496 0.154 Sb
0.504 0.846 0.658 Sb
0.658 0.812 0.154 Sb
0.658 0.504 0.846 Sb
0.846 0.658 0.504 Sb
0.496 0.154 0.342 Sb
0.812 0.154 0.658 Sb
0.154 0.342 0.496 Sb
0.188 0.846 0.342 Sb
0.500 0.000 0.000 Pd
0.000 0.000 0.500 Pd
0.000 0.500 0.000 Pd
0.500 0.500 0.500 Pd
0.000 0.000 0.000 Pb

PBE CsCd2Pd, relaxed; total moment = 0.000 Bohr magnetons per cell; E_form = -0.19 eV per atom; ΔE to the lowest computed polymorph = 0.0000 eV per atom
1.0
-2.634 -1.842 -3.606
2.060 -2.925 -3.247
-1.702 -6.873 1.518
Cd Cs Pd
2 1 1
Direct
0.811 0.811 0.568 Cd
0.189 0.189 0.432 Cd
0.000 0.000 0.000 Cs
0.500 0.500 0.500 Pd

PBE KBiB2W, relaxed; total moment = 0.000 Bohr magnetons per cell; E_form = 0.93 eV per atom
1.0
4.496 0.000 0.000
0.000 5.296 0.000
0.000 0.000 4.496
W B Bi K
1 2 1 1
Direct
0.000 0.000 0.000 W
0.500 0.000 0.000 B
0.000 0.000 0.500 B
0.000 0.500 0.000 Bi
0.500 0.500 0.500 K

PBE PuGa2Pt6, relaxed; total moment = 9.816 Bohr magnetons per cell; E_form = -0.34 eV per atom
1.0
7.980 0.000 0.000
3.990 6.910 0.000
3.990 2.303 6.515
Pt Ga Pu
12 4 2
Direct
0.744 0.256 0.744 Pt
0.744 0.744 0.256 Pt
0.744 0.256 0.256 Pt
0.994 0.506 0.994 Pt
0.256 0.256 0.744 Pt
0.994 0.994 0.506 Pt
0.256 0.744 0.256 Pt
0.506 0.994 0.506 Pt
0.506 0.994 0.994 Pt
0.994 0.506 0.506 Pt
0.506 0.506 0.994 Pt
0.256 0.744 0.744 Pt
0.125 0.125 0.125 Ga
0.625 0.125 0.125 Ga
0.125 0.625 0.125 Ga
0.125 0.125 0.625 Ga
0.500 0.500 0.500 Pu
0.750 0.750 0.750 Pu

PBE Pu2CrReN6, relaxed; total moment = 10.389 Bohr magnetons per cell; ΔE_f (raw) = -0.53 eV/atom
1.0
4.671 0.000 0.000
0.000 5.255 0.000
0.000 0.000 5.255
N Pu Re Cr
6 2 1 1
Direct
0.712 0.252 0.252 N
0.712 0.252 0.748 N
0.712 0.748 0.252 N
0.220 0.500 0.500 N
0.712 0.748 0.748 N
0.199 0.000 0.000 N
0.008 0.000 0.500 Pu
0.008 0.500 0.000 Pu
0.582 0.000 0.000 Re
0.580 0.500 0.500 Cr

| no. | DOS at the Fermi energy (states/eV/cell) | calculated volume (Å³ per atom) |
| --- | --- | --- |
| 1 | 0.22 | 20.07 |
| 2 | 13.98 | 163.10 |
| 3 | 10.34 | 19.61 |
| 4 | 20.41 | 11.87 |
| 5 | 1.33 | 23.31 |
| 6 | 2.21 | 29.91 |
| 7 | 5.64 | 18.61 |
| 8 | 7.34 | 26.10 |
| 9 | 2.19 | 33.76 |
| 10 | 2.17 | 21.41 |
| 11 | 28.20 | 19.96 |
| 12 | 16.05 | 12.90 |